# Na4LiCd3

A relaxed structure of Na4LiCd3 (PBE-GGA, the Alexandria database).

Computed properties:
Volume (Å³ per atom): 27.73
M_tot (μB per cell): 0.0
Calculated formation energy (meV per atom): -25

abc: 15.1761 15.1761 3.4674
angles: 96.34 96.34 16.23
Atoms (fractional coordinates):
Na (0.0913, 0.0913, 0.0961)
Na (0.2129, 0.2129, 0.2151)
Na (0.7871, 0.7871, 0.7849)
Na (0.9087, 0.9087, 0.9039)
Li (0.0000, 0.0000, 0.5000)
Cd (0.3447, 0.3447, 0.3403)
Cd (0.5000, 0.5000, 0.0000)
Cd (0.6553, 0.6553, 0.6597)